No. 1
DFT (PBE) results for crystalline Zn12In3Bi5 at its relaxed geometry.

Cell lengths 13.9569, 13.9569, 13.9569 Å; angles 109.47, 109.47, 109.47 degrees
With the nearest neighbours (Å) after each atom.
Positions (direct):
Zn 0.0701 0.6408 0.4012  2 In 2.72-3.04, 2 Bi 2.72-2.85, 1 Zn 2.81
Zn 0.0701 0.9293 0.6689  2 In 2.72-3.04, 2 Bi 2.72-2.85, 1 Zn 2.81
Zn 0.0707 0.2396 0.1408  2 In 2.72-3.04, 2 Bi 2.72-2.85, 1 Zn 2.81
Zn 0.0707 0.3311 0.9299  2 In 2.72-3.04, 2 Bi 2.72-2.85, 1 Zn 2.81
Zn 0.0988 0.7396 0.6689  2 In 2.72-3.04, 2 Bi 2.72-2.85, 1 Zn 2.81
Zn 0.0988 0.8592 0.4299  2 In 2.72-3.04, 2 Bi 2.72-2.85, 1 Zn 2.81
Zn 0.1408 0.0707 0.2396  2 In 2.72-3.04, 2 Bi 2.72-2.85, 1 Zn 2.81
Zn 0.1408 0.5701 0.9012  2 In 2.72-3.04, 2 Bi 2.72-2.85, 1 Zn 2.81
Zn 0.1689 0.2396 0.5988  2 In 2.72-3.04, 2 Bi 2.72-2.85, 1 Zn 2.81
Zn 0.1689 0.4293 0.5701  2 In 2.72-3.04, 2 Bi 2.72-2.85, 1 Zn 2.81
Zn 0.2396 0.1408 0.0707  2 In 2.72-3.04, 2 Bi 2.72-2.85, 1 Zn 2.81
Zn 0.2396 0.5988 0.1689  2 In 2.72-3.04, 2 Bi 2.72-2.85, 1 Zn 2.81
Zn 0.2604 0.3311 0.9012  2 In 2.72-3.04, 2 Bi 2.72-2.85, 1 Zn 2.81
Zn 0.2604 0.4293 0.3592  2 In 2.72-3.04, 2 Bi 2.72-2.85, 1 Zn 2.81
Zn 0.3311 0.9012 0.2604  2 In 2.72-3.04, 2 Bi 2.72-2.85, 1 Zn 2.81
Zn 0.3311 0.9299 0.0707  2 In 2.72-3.04, 2 Bi 2.72-2.85, 1 Zn 2.81
Zn 0.3592 0.2604 0.4293  2 In 2.72-3.04, 2 Bi 2.72-2.85, 1 Zn 2.81
Zn 0.3592 0.5988 0.9299  2 In 2.72-3.04, 2 Bi 2.72-2.85, 1 Zn 2.81
Zn 0.4012 0.0701 0.6408  2 In 2.72-3.04, 2 Bi 2.72-2.85, 1 Zn 2.81
Zn 0.4012 0.8311 0.7604  2 In 2.72-3.04, 2 Bi 2.72-2.85, 1 Zn 2.81
Zn 0.4293 0.3592 0.2604  2 In 2.72-3.04, 2 Bi 2.72-2.85, 1 Zn 2.81
Zn 0.4293 0.5701 0.1689  2 In 2.72-3.04, 2 Bi 2.72-2.85, 1 Zn 2.81
Zn 0.4299 0.0988 0.8592  2 In 2.72-3.04, 2 Bi 2.72-2.85, 1 Zn 2.81
Zn 0.4299 0.8311 0.5707  2 In 2.72-3.04, 2 Bi 2.72-2.85, 1 Zn 2.81
Zn 0.5701 0.1689 0.4293  2 In 2.72-3.04, 2 Bi 2.72-2.85, 1 Zn 2.81
Zn 0.5701 0.9012 0.1408  2 In 2.72-3.04, 2 Bi 2.72-2.85, 1 Zn 2.81
Zn 0.5707 0.4299 0.8311  2 In 2.72-3.04, 2 Bi 2.72-2.85, 1 Zn 2.81
Zn 0.5707 0.6408 0.7396  2 In 2.72-3.04, 2 Bi 2.72-2.85, 1 Zn 2.81
Zn 0.5988 0.1689 0.2396  2 In 2.72-3.04, 2 Bi 2.72-2.85, 1 Zn 2.81
Zn 0.5988 0.9299 0.3592  2 In 2.72-3.04, 2 Bi 2.72-2.85, 1 Zn 2.81
Zn 0.6408 0.4012 0.0701  2 In 2.72-3.04, 2 Bi 2.72-2.85, 1 Zn 2.81
Zn 0.6408 0.7396 0.5707  2 In 2.72-3.04, 2 Bi 2.72-2.85, 1 Zn 2.81
Zn 0.6689 0.0701 0.9293  2 In 2.72-3.04, 2 Bi 2.72-2.85, 1 Zn 2.81
Zn 0.6689 0.0988 0.7396  2 In 2.72-3.04, 2 Bi 2.72-2.85, 1 Zn 2.81
Zn 0.7396 0.5707 0.6408  2 In 2.72-3.04, 2 Bi 2.72-2.85, 1 Zn 2.81
Zn 0.7396 0.6689 0.0988  2 In 2.72-3.04, 2 Bi 2.72-2.85, 1 Zn 2.81
Zn 0.7604 0.4012 0.8311  2 In 2.72-3.04, 2 Bi 2.72-2.85, 1 Zn 2.81
Zn 0.7604 0.8592 0.9293  2 In 2.72-3.04, 2 Bi 2.72-2.85, 1 Zn 2.81
Zn 0.8311 0.5707 0.4299  2 In 2.72-3.04, 2 Bi 2.72-2.85, 1 Zn 2.81
Zn 0.8311 0.7604 0.4012  2 In 2.72-3.04, 2 Bi 2.72-2.85, 1 Zn 2.81
Zn 0.8592 0.4299 0.0988  2 In 2.72-3.04, 2 Bi 2.72-2.85, 1 Zn 2.81
Zn 0.8592 0.9293 0.7604  2 In 2.72-3.04, 2 Bi 2.72-2.85, 1 Zn 2.81
Zn 0.9012 0.1408 0.5701  2 In 2.72-3.04, 2 Bi 2.72-2.85, 1 Zn 2.81
Zn 0.9012 0.2604 0.3311  2 In 2.72-3.04, 2 Bi 2.72-2.85, 1 Zn 2.81
Zn 0.9293 0.6689 0.0701  2 In 2.72-3.04, 2 Bi 2.72-2.85, 1 Zn 2.81
Zn 0.9293 0.7604 0.8592  2 In 2.72-3.04, 2 Bi 2.72-2.85, 1 Zn 2.81
Zn 0.9299 0.0707 0.3311  2 In 2.72-3.04, 2 Bi 2.72-2.85, 1 Zn 2.81
Zn 0.9299 0.3592 0.5988  2 In 2.72-3.04, 2 Bi 2.72-2.85, 1 Zn 2.81
In 0.1250 0.2500 0.3750  8 Zn 2.72-3.04
In 0.1250 0.3750 0.7500  8 Zn 2.72-3.04
In 0.2500 0.3750 0.1250  8 Zn 2.72-3.04
In 0.2500 0.8750 0.6250  8 Zn 2.72-3.04
In 0.3750 0.1250 0.2500  8 Zn 2.72-3.04
In 0.3750 0.7500 0.1250  8 Zn 2.72-3.04
In 0.6250 0.2500 0.8750  8 Zn 2.72-3.04
In 0.6250 0.8750 0.7500  8 Zn 2.72-3.04
In 0.7500 0.1250 0.3750  8 Zn 2.72-3.04
In 0.7500 0.6250 0.8750  8 Zn 2.72-3.04
In 0.8750 0.6250 0.2500  8 Zn 2.72-3.04
In 0.8750 0.7500 0.6250  8 Zn 2.72-3.04
Bi 0.0000 0.0000 0.0000  6 Zn 2.85
Bi 0.0000 0.0000 0.5000  6 Zn 2.85
Bi 0.0000 0.5000 0.0000  6 Zn 2.85
Bi 0.0000 0.5000 0.5000  6 Zn 2.85
Bi 0.1250 0.7500 0.8750  4 Zn 2.72
Bi 0.1250 0.8750 0.2500  4 Zn 2.72
Bi 0.2500 0.1250 0.8750  4 Zn 2.72
Bi 0.2500 0.6250 0.3750  4 Zn 2.72
Bi 0.3750 0.2500 0.6250  4 Zn 2.72
Bi 0.3750 0.6250 0.7500  4 Zn 2.72
Bi 0.5000 0.0000 0.0000  6 Zn 2.85
Bi 0.5000 0.0000 0.5000  6 Zn 2.85
Bi 0.5000 0.5000 0.0000  6 Zn 2.85
Bi 0.5000 0.5000 0.5000  6 Zn 2.85
Bi 0.6250 0.3750 0.2500  4 Zn 2.72
Bi 0.6250 0.7500 0.3750  4 Zn 2.72
Bi 0.7500 0.3750 0.6250  4 Zn 2.72
Bi 0.7500 0.8750 0.1250  4 Zn 2.72
Bi 0.8750 0.1250 0.7500  4 Zn 2.72
Bi 0.8750 0.2500 0.1250  4 Zn 2.72

Summary:
For the calculated total energy, the calculation gives -1.95 eV per atom. The spin magnetization comes out at 0.00 μB per cell.



No. 2
DFT (PBE) results for crystalline ZnInBi2 at its relaxed geometry.

Cell lengths 8.2910, 8.2910, 8.2910 Å; angles 134.66, 134.66, 66.05 degrees
With the nearest neighbours (Å) after each atom.
Positions (direct):
Zn 0.0000 0.0000 0.0000  4 Bi 2.75
Zn 0.7500 0.2500 0.5000  4 Bi 2.75
In 0.2500 0.7500 0.5000  4 Bi 2.96
In 0.5000 0.5000 0.0000  4 Bi 2.96
Bi 0.0954 0.6250 0.9704  2 Zn 2.75, 2 In 2.96
Bi 0.3750 0.3454 0.4704  2 Zn 2.75, 2 In 2.96
Bi 0.6546 0.1250 0.0296  2 Zn 2.75, 2 In 2.96
Bi 0.8750 0.9046 0.5296  2 Zn 2.75, 2 In 2.96

Summary:
For the calculated total energy, the calculation gives -2.82 eV per atom. The spin magnetization comes out at 0.00 μB per cell.



No. 3
DFT (PBE) results for crystalline ZnInBi at its relaxed geometry.

Cell lengths 6.9565, 6.9565, 6.9565 Å; angles 151.48, 151.48, 40.77 degrees
With the nearest neighbours (Å) after each atom.
Positions (direct):
Zn 0.0000 0.0000 0.0000  4 In 3.05, 4 Bi 3.15
In 0.6420 0.6420 0.0000  4 Zn 3.05
Bi 0.3453 0.3453 0.0000  4 Zn 3.15, 4 Bi 3.43

Summary:
For the calculated total energy, the calculation gives -2.51 eV per atom. The spin magnetization comes out at 0.00 μB per cell.



No. 4
DFT (PBE) results for crystalline ZnIn8Bi2 at its relaxed geometry.

Cell lengths 9.1859, 9.1859, 9.1859 Å; angles 147.91, 130.94, 59.84 degrees
With the nearest neighbours (Å) after each atom.
Positions (direct):
Zn 0.0000 0.0000 0.0000  4 In 3.02
In 0.1465 0.6465 0.5000  6 In 3.26-3.38, 2 Bi 3.28, 2 Zn 3.45
In 0.1602 0.8708 0.2894  1 Zn 3.02, 5 In 3.21-3.38, 3 Bi 3.23-3.35
In 0.2982 0.5000 0.7982  7 In 3.08-3.27, 2 Zn 3.41
In 0.4186 0.1292 0.2894  1 Zn 3.02, 5 In 3.21-3.38, 3 Bi 3.23-3.35
In 0.5814 0.8708 0.7106  1 Zn 3.02, 5 In 3.21-3.38, 3 Bi 3.23-3.35
In 0.7018 0.5000 0.2018  7 In 3.08-3.27, 2 Zn 3.41
In 0.8398 0.1292 0.7106  1 Zn 3.02, 5 In 3.21-3.38, 3 Bi 3.23-3.35
In 0.8535 0.3535 0.5000  6 In 3.26-3.38, 2 Bi 3.28, 2 Zn 3.45
Bi 0.2771 0.2771 0.0000  8 In 3.23-3.35
Bi 0.7229 0.7229 0.0000  8 In 3.23-3.35

Summary:
For the calculated total energy, the calculation gives -2.75 eV per atom. The spin magnetization comes out at 0.00 μB per cell.



No. 5
DFT (PBE) results for crystalline Zn3InBi3 at its relaxed geometry.

Cell lengths 7.7786, 7.7786, 7.7786 Å; angles 90.00, 90.00, 90.00 degrees
With the nearest neighbours (Å) after each atom.
Positions (direct):
Zn 0.0000 0.2500 0.5000  4 Bi 2.75
Zn 0.0000 0.7500 0.5000  4 Bi 2.75
Zn 0.2500 0.5000 0.0000  4 Bi 2.75
Zn 0.5000 0.0000 0.2500  4 Bi 2.75
Zn 0.5000 0.0000 0.7500  4 Bi 2.75
Zn 0.7500 0.5000 0.0000  4 Bi 2.75
In 0.0000 0.0000 0.0000  12 Bi 4.35, 12 Zn 4.35
In 0.5000 0.5000 0.5000  12 Bi 4.35, 12 Zn 4.35
Bi 0.0000 0.5000 0.2500  4 Zn 2.75
Bi 0.0000 0.5000 0.7500  4 Zn 2.75
Bi 0.2500 0.0000 0.5000  4 Zn 2.75
Bi 0.5000 0.2500 0.0000  4 Zn 2.75
Bi 0.5000 0.7500 0.0000  4 Zn 2.75
Bi 0.7500 0.0000 0.5000  4 Zn 2.75

Summary:
For the calculated total energy, the calculation gives -2.33 eV per atom. The spin magnetization comes out at 0.00 μB per cell.



No. 6
DFT (PBE) results for crystalline Zr10In3Bi3 at its relaxed geometry.

Cell lengths 8.6277, 8.6277, 5.8462 Å; angles 90.00, 90.00, 120.00 degrees
With the nearest neighbours (Å) after each atom.
Positions (direct):
Zr 0.0000 0.2491 0.0000  3 In 2.94-3.12, 2 Bi 3.19
Zr 0.0000 0.7600 0.5000  3 Bi 2.98-3.14, 2 In 3.19
Zr 0.2400 0.2400 0.5000  3 Bi 2.98-3.14, 2 In 3.19
Zr 0.2491 0.0000 0.0000  3 In 2.94-3.12, 2 Bi 3.19
Zr 0.3333 0.6667 0.2446  2 Zr 2.86-2.99, 3 In 3.03, 3 Bi 3.04
Zr 0.3333 0.6667 0.7554  2 Zr 2.86-2.99, 3 In 3.03, 3 Bi 3.04
Zr 0.6667 0.3333 0.2446  2 Zr 2.86-2.99, 3 In 3.03, 3 Bi 3.04
Zr 0.6667 0.3333 0.7554  2 Zr 2.86-2.99, 3 In 3.03, 3 Bi 3.04
Zr 0.7509 0.7509 0.0000  3 In 2.94-3.12, 2 Bi 3.19
Zr 0.7600 0.0000 0.5000  3 Bi 2.98-3.14, 2 In 3.19
In 0.0000 0.6112 0.0000  9 Zr 2.94-3.19
In 0.3888 0.3888 0.0000  9 Zr 2.94-3.19
In 0.6112 0.0000 0.0000  9 Zr 2.94-3.19
Bi 0.0000 0.3960 0.5000  9 Zr 2.98-3.19
Bi 0.3960 0.0000 0.5000  9 Zr 2.98-3.19
Bi 0.6040 0.6040 0.5000  9 Zr 2.98-3.19

Summary:
For the calculated total energy, the calculation gives -6.91 eV per atom. The spin magnetization comes out at 0.00 μB per cell.



No. 7
DFT (PBE) results for crystalline Zr2In2Bi at its relaxed geometry.

Cell lengths 7.5819, 7.5819, 4.4146 Å; angles 90.00, 90.00, 90.00 degrees
With the nearest neighbours (Å) after each atom.
Positions (direct):
Zr 0.1515 0.3485 0.0000  2 Bi 2.88, 6 In 3.07-3.18
Zr 0.3485 0.8485 0.0000  2 Bi 2.88, 6 In 3.07-3.18
Zr 0.6515 0.1515 0.0000  2 Bi 2.88, 6 In 3.07-3.18
Zr 0.8485 0.6515 0.0000  2 Bi 2.88, 6 In 3.07-3.18
In 0.1501 0.6501 0.5000  6 Zr 3.07-3.18, 1 In 3.22
In 0.3499 0.1501 0.5000  6 Zr 3.07-3.18, 1 In 3.22
In 0.6501 0.8499 0.5000  6 Zr 3.07-3.18, 1 In 3.22
In 0.8499 0.3499 0.5000  6 Zr 3.07-3.18, 1 In 3.22
Bi 0.0000 0.0000 0.0000  4 Zr 2.88
Bi 0.5000 0.5000 0.0000  4 Zr 2.88

Summary:
For the energy relative to the lowest polymorph listed for this composition, the calculation gives 0.00 eV/f.u. The spin magnetization comes out at 0.00 μB per cell.



No. 8
DFT (PBE) results for crystalline Zr6InBi3 at its relaxed geometry.

Cell lengths 8.6783, 8.6783, 7.5081 Å; angles 90.00, 90.00, 115.07 degrees
With the nearest neighbours (Å) after each atom.
Positions (direct):
Zr 0.0100 0.4440 0.9890  5 Zr 3.01-3.37, 3 Bi 3.02-3.29, 2 In 3.12-3.31
Zr 0.0483 0.9517 0.5000  1 In 3.03, 4 Bi 3.12-3.17, 2 Zr 3.25
Zr 0.2260 0.3793 0.6841  4 Bi 2.93-3.15, 2 Zr 3.08-3.16, 1 In 3.21
Zr 0.2599 0.7401 0.7627  6 Zr 3.01-3.08, 3 Bi 3.02-3.07
Zr 0.3793 0.2260 0.1841  4 Bi 2.93-3.15, 2 Zr 3.08-3.16, 1 In 3.21
Zr 0.4440 0.0100 0.4890  5 Zr 3.01-3.37, 3 Bi 3.02-3.29, 2 In 3.12-3.31
Zr 0.5560 0.9900 0.9890  5 Zr 3.01-3.37, 3 Bi 3.02-3.29, 2 In 3.12-3.31
Zr 0.6207 0.7740 0.6841  4 Bi 2.93-3.15, 2 Zr 3.08-3.16, 1 In 3.21
Zr 0.7401 0.2599 0.2627  6 Zr 3.01-3.08, 3 Bi 3.02-3.07
Zr 0.7740 0.6207 0.1841  4 Bi 2.93-3.15, 2 Zr 3.08-3.16, 1 In 3.21
Zr 0.9517 0.0483 0.0000  1 In 3.03, 4 Bi 3.12-3.17, 2 Zr 3.25
Zr 0.9900 0.5560 0.4890  5 Zr 3.01-3.37, 3 Bi 3.02-3.29, 2 In 3.12-3.31
In 0.1812 0.8188 0.1907  7 Zr 3.03-3.31
In 0.8188 0.1812 0.6907  7 Zr 3.03-3.31
Bi 0.0999 0.3000 0.3184  7 Zr 2.93-3.17
Bi 0.3000 0.0999 0.8184  7 Zr 2.93-3.17
Bi 0.4251 0.5749 0.0136  7 Zr 3.07-3.29
Bi 0.5749 0.4251 0.5136  7 Zr 3.07-3.29
Bi 0.7000 0.9001 0.3184  7 Zr 2.93-3.17
Bi 0.9001 0.7000 0.8184  7 Zr 2.93-3.17

Summary:
For the calculated total energy, the calculation gives -6.73 eV per atom. The spin magnetization comes out at 0.00 μB per cell.



No. 9
DFT (PBE) results for crystalline ZrIn3Bi at its relaxed geometry.

Cell lengths 5.7171, 5.7171, 5.7171 Å; angles 90.00, 90.00, 90.00 degrees
With the nearest neighbours (Å) after each atom.
Positions (direct):
Zr 0.0000 0.0000 0.0000  12 In 4.04
In 0.0000 0.5000 0.5000  2 Bi 2.86
In 0.5000 0.0000 0.5000  2 Bi 2.86
In 0.5000 0.5000 0.0000  2 Bi 2.86
Bi 0.5000 0.5000 0.5000  6 In 2.86

Summary:
For the calculated total energy, the calculation gives -3.06 eV per atom. The spin magnetization comes out at 2.03 μB per cell.



No. 10
DFT (PBE) results for crystalline ZrInBi2 at its relaxed geometry.

Cell lengths 4.0290, 4.0290, 6.6618 Å; angles 90.00, 90.00, 90.00 degrees
With the nearest neighbours (Å) after each atom.
Positions (direct):
Zr 0.0000 0.0000 0.0000  8 Bi 3.24, 2 In 3.33
In 0.0000 0.0000 0.5000  2 Zr 3.33, 8 Bi 3.36
Bi 0.5000 0.5000 0.2325  1 Bi 3.10, 4 Zr 3.24, 4 In 3.36
Bi 0.5000 0.5000 0.7675  1 Bi 3.10, 4 Zr 3.24, 4 In 3.36

Summary:
For the calculated total energy, the calculation gives -4.92 eV per atom. The spin magnetization comes out at 0.00 μB per cell.



No. 11
DFT (PBE) results for crystalline ZrInBi3 at its relaxed geometry.

Cell lengths 5.6218, 5.6218, 5.6218 Å; angles 90.00, 90.00, 90.00 degrees
With the nearest neighbours (Å) after each atom.
Positions (direct):
Zr 0.0000 0.0000 0.0000  12 Bi 3.98
In 0.5000 0.5000 0.5000  6 Bi 2.81
Bi 0.0000 0.5000 0.5000  2 In 2.81
Bi 0.5000 0.0000 0.5000  2 In 2.81
Bi 0.5000 0.5000 0.0000  2 In 2.81

Summary:
For the energy relative to the lowest polymorph listed for this composition, the calculation gives 3.79 eV/f.u. The spin magnetization comes out at 0.01 μB per cell.



No. 12
DFT (PBE) results for crystalline Zr12In3Bi at its relaxed geometry.

Cell lengths 5.6634, 5.6636, 11.3455 Å; angles 90.00, 90.00, 90.00 degrees
With the nearest neighbours (Å) after each atom.
Positions (direct):
Zr 0.0000 0.0000 0.1235  2 Zr 2.80-2.81
Zr 0.0000 0.0000 0.3716  2 Zr 2.81-2.91, 2 In 3.15
Zr 0.0000 0.0000 0.6284  2 Zr 2.81-2.91, 2 In 3.15
Zr 0.0000 0.0000 0.8765  2 Zr 2.80-2.81
Zr 0.2516 0.5000 0.2481  2 Zr 2.81-2.85
Zr 0.2516 0.5000 0.7519  2 Zr 2.81-2.85
Zr 0.5000 0.2459 0.5000  2 Zr 2.79-2.88
Zr 0.5000 0.2499 0.0000  2 Zr 2.83, 2 In 3.17
Zr 0.5000 0.7501 0.0000  2 Zr 2.83, 2 In 3.17
Zr 0.5000 0.7541 0.5000  2 Zr 2.79-2.88
Zr 0.7484 0.5000 0.2481  2 Zr 2.81-2.85
Zr 0.7484 0.5000 0.7519  2 Zr 2.81-2.85
In 0.0000 0.5000 0.0000  12 Zr 3.15-3.17
In 0.5000 0.0000 0.2508  12 Zr 3.15-3.18
In 0.5000 0.0000 0.7492  12 Zr 3.15-3.18
Bi 0.0000 0.5000 0.5000  12 Zr 3.18-3.19

Summary:
For the calculated total energy, the calculation gives -7.39 eV per atom. The spin magnetization comes out at 0.00 μB per cell.